[1]
Here is Ti6Sn2Hg after structural relaxation from the Alexandria database. Energies are from PBE-GGA.

a b c (Å): 5.305 6.155 6.155
angles (deg): 59.97 89.98 89.98
Atoms (fractional coordinates):
Ti 0.675 0.190 0.190
Ti 0.674 0.189 0.621
Ti 0.325 0.810 0.810
Ti 0.674 0.621 0.189
Ti 0.326 0.379 0.811
Ti 0.326 0.811 0.379
Sn 0.810 0.667 0.667
Sn 0.190 0.333 0.333
Hg 0.000 0.000 0.000

symmetry	P-3m1, No. 164
D(E_F)	10.32	states/eV/cell
energy of formation from the pure elements	32	meV/atom

=====

[2]
Here is Ti7Sn3Hg after structural relaxation from the Alexandria database. Energies are from PBE-GGA.

a b c (Å): 5.129 7.124 7.124
angles (deg): 91.61 111.12 111.12
Site moments in Bohr magnetons follow the coordinates.
Atoms (fractional coordinates):
Ti 0.823 0.823 0.823  0.42
Ti 0.330 0.587 0.073  0.76
Ti 0.670 0.413 0.927  0.76
Ti 0.330 0.073 0.587  0.76
Ti 0.000 0.500 0.500  -0.40
Ti 0.177 0.177 0.177  0.42
Ti 0.670 0.927 0.413  0.76
Sn 0.500 0.000 0.000  -0.02
Sn 0.000 0.767 0.233  -0.03
Sn 0.000 0.233 0.767  -0.03
Hg 0.500 0.500 0.500  0.01

symmetry	Immm, No. 71
D(E_F)	10.39	states/eV/cell
energy of formation from the pure elements	65	meV/atom

=====

[3]
Here is Ti2SnHg after structural relaxation from the Alexandria database. Energies are from PBE-GGA.

a b c (Å): 3.598 3.598 5.957
angles (deg): 90.00 90.00 90.00
Atoms (fractional coordinates):
Ti 0.000 0.000 0.739
Ti 0.000 0.000 0.261
Sn 0.500 0.500 0.500
Hg 0.500 0.500 0.000

symmetry	P4/mmm, No. 123
D(E_F)	3.21	states/eV/cell
energy of formation from the pure elements	-84	meV/atom

=====

[4]
Here is TiSn2Hg after structural relaxation from the Alexandria database. Energies are from PBE-GGA.

a b c (Å): 4.496 4.496 6.253
angles (deg): 68.93 68.93 60.00
Atoms (fractional coordinates):
Sn 0.070 0.070 0.791
Sn 0.264 0.264 0.209
Hg 0.497 0.497 0.509
Ti 0.670 0.670 0.991

symmetry	R3m, No. 160
D(E_F)	2.97	states/eV/cell
energy of formation from the pure elements	119	meV/atom

=====

[5]
Here is Ti12Sn3Hg after structural relaxation from the Alexandria database. Energies are from PBE-GGA.

a b c (Å): 5.216 5.225 10.459
angles (deg): 90.00 90.00 90.00
Atoms (fractional coordinates):
Ti 0.000 0.248 0.749
Ti 0.000 0.752 0.749
Ti 0.752 0.500 0.500
Ti 0.000 0.248 0.251
Ti 0.248 0.500 0.500
Ti 0.500 0.000 0.621
Ti 0.500 0.000 0.379
Ti 0.750 0.500 0.000
Ti 0.500 0.000 0.128
Ti 0.500 0.000 0.872
Ti 0.000 0.752 0.251
Ti 0.250 0.500 0.000
Sn 0.000 0.000 0.000
Sn 0.500 0.500 0.750
Sn 0.500 0.500 0.250
Hg 0.000 0.000 0.500

symmetry	Pmmm, No. 47
D(E_F)	20.90	states/eV/cell
energy of formation from the pure elements	-243	meV/atom

=====

[6]
Here is TiSnHg3 after structural relaxation from the Alexandria database. Energies are from PBE-GGA.

a b c (Å): 5.309 5.309 5.309
angles (deg): 90.00 90.00 90.00
Site moments in Bohr magnetons follow the coordinates.
Atoms (fractional coordinates):
Sn 0.500 0.500 0.500  -0.05
Ti 0.000 0.000 0.000  0.89
Hg 0.000 0.500 0.000  0.02
Hg 0.000 0.000 0.500  0.00
Hg 0.500 0.000 0.000  0.06

energy above the lowest structure with this stoichiometry	0.000	eV per formula unit
symmetry	Pm-3m, No. 221
D(E_F)	3.63	states/eV/cell
energy of formation from the pure elements	531	meV/atom

=====

[7]
Here is Ti2SnHg after structural relaxation from the Alexandria database. Energies are from PBE-GGA.

a b c (Å): 3.106 3.106 9.648
angles (deg): 80.74 80.74 60.00
Atoms (fractional coordinates):
Ti 0.083 0.083 0.751
Ti 0.250 0.250 0.249
Hg 0.500 0.500 0.501
Sn 0.667 0.667 0.999

symmetry	R3m, No. 160
D(E_F)	5.61	states/eV/cell
energy of formation from the pure elements	25	meV/atom

=====

[8]
Here is Ti2SnHg after structural relaxation from the Alexandria database. Energies are from PBE-GGA.

a b c (Å): 4.179 4.255 4.255
angles (deg): 90.00 90.00 90.00
Atoms (fractional coordinates):
Sn 0.500 0.000 0.000
Hg 0.500 0.500 0.500
Ti 0.000 0.500 0.000
Ti 0.000 0.000 0.500

symmetry	P4/mmm, No. 123
D(E_F)	3.37	states/eV/cell
energy of formation from the pure elements	-159	meV/atom

=====

[9]
Here is Ti2SnHg after structural relaxation from the Alexandria database. Energies are from PBE-GGA.

a b c (Å): 7.548 7.548 6.089
angles (deg): 51.70 51.70 90.00
Atoms (fractional coordinates):
Sn 0.500 0.500 0.000
Sn 0.250 0.750 0.500
Ti 0.122 0.625 0.250
Ti 0.875 0.878 0.750
Ti 0.375 0.372 0.750
Ti 0.628 0.125 0.250
Hg 0.750 0.250 0.500
Hg 0.000 0.000 0.000

symmetry	I-42d, No. 122
D(E_F)	8.63	states/eV/cell
energy of formation from the pure elements	157	meV/atom

=====

[10]
Here is Ti6SnHg after structural relaxation from the Alexandria database. Energies are from PBE-GGA.

a b c (Å): 4.788 5.868 5.868
angles (deg): 120.04 90.00 90.00
Atoms (fractional coordinates):
Ti 0.500 0.916 0.583
Ti 0.000 0.587 0.413
Ti 0.500 0.917 0.083
Ti 0.000 0.076 0.413
Ti 0.500 0.417 0.084
Ti 0.000 0.587 0.924
Hg 0.500 0.417 0.583
Sn 0.000 0.083 0.917

symmetry	P-6m2, No. 187
D(E_F)	7.15	states/eV/cell
energy of formation from the pure elements	-169	meV/atom

=====

[11]
Here is TiSn2Hg after structural relaxation from the Alexandria database. Energies are from PBE-GGA.

a b c (Å): 7.959 7.959 6.403
angles (deg): 51.57 51.57 90.00
Atoms (fractional coordinates):
Hg 0.000 0.000 0.000
Hg 0.750 0.250 0.500
Sn 0.617 0.125 0.250
Sn 0.875 0.867 0.750
Sn 0.375 0.383 0.750
Sn 0.133 0.625 0.250
Ti 0.500 0.500 0.000
Ti 0.250 0.750 0.500

symmetry	I-42d, No. 122
D(E_F)	10.08	states/eV/cell
energy of formation from the pure elements	271	meV/atom

=====

[12]
Here is Ti7Sn2Hg2 after structural relaxation from the Alexandria database. Energies are from PBE-GGA.

a b c (Å): 5.250 7.024 7.211
angles (deg): 83.58 118.30 113.67
Site moments in Bohr magnetons follow the coordinates.
Atoms (fractional coordinates):
Sn 0.296 0.005 0.741  -0.01
Sn 0.704 0.995 0.259  -0.01
Hg 0.774 0.491 0.770  0.00
Hg 0.226 0.509 0.230  0.00
Ti 0.916 0.665 0.399  -0.08
Ti 0.577 0.816 0.593  0.12
Ti 0.084 0.335 0.601  -0.08
Ti 0.000 0.000 0.000  0.17
Ti 0.567 0.337 0.081  0.36
Ti 0.423 0.184 0.407  0.12
Ti 0.433 0.663 0.919  0.36

symmetry	P-1, No. 2
D(E_F)	13.15	states/eV/cell
energy of formation from the pure elements	12	meV/atom

=====

[13]
Here is Ti2Sn2Hg after structural relaxation from the Alexandria database. Energies are from PBE-GGA.

a b c (Å): 8.352 8.352 3.088
angles (deg): 90.00 90.00 90.00
Site moments in Bohr magnetons follow the coordinates.
Atoms (fractional coordinates):
Ti 0.122 0.622 0.500  0.21
Ti 0.878 0.378 0.500  0.21
Ti 0.622 0.878 0.500  0.22
Ti 0.378 0.122 0.500  0.22
Hg 0.500 0.500 0.000  -0.01
Hg 0.000 0.000 0.000  -0.01
Sn 0.828 0.672 0.000  -0.01
Sn 0.172 0.328 0.000  -0.01
Sn 0.328 0.828 0.000  0.00
Sn 0.672 0.172 0.000  0.00

energy above the lowest structure with this stoichiometry	0.449	eV per formula unit
symmetry	P4/mbm, No. 127
D(E_F)	11.99	states/eV/cell
energy of formation from the pure elements	-26	meV/atom

=====

[14]
Here is Ti2Sn2Hg after structural relaxation from the Alexandria database. Energies are from PBE-GGA.

a b c (Å): 7.322 7.322 3.951
angles (deg): 90.00 90.00 90.00
Site moments in Bohr magnetons follow the coordinates.
Atoms (fractional coordinates):
Sn 0.667 0.833 0.500  -0.02
Sn 0.833 0.333 0.500  -0.02
Sn 0.333 0.167 0.500  -0.02
Sn 0.167 0.667 0.500  -0.02
Hg 0.500 0.500 0.000  0.01
Hg 0.000 0.000 0.000  0.01
Ti 0.132 0.368 0.000  0.29
Ti 0.632 0.132 0.000  0.29
Ti 0.368 0.868 0.000  0.29
Ti 0.868 0.632 0.000  0.29

energy above the lowest structure with this stoichiometry	0.000	eV per formula unit
symmetry	P4/mbm, No. 127
D(E_F)	7.51	states/eV/cell
energy of formation from the pure elements	-116	meV/atom

=====

[15]
Here is TiTl2SnHg after structural relaxation from the Alexandria database. Energies are from PBE-GGA.

a b c (Å): 5.820 5.429 5.820
angles (deg): 90.00 90.00 90.00
Site moments in Bohr magnetons follow the coordinates.
Atoms (fractional coordinates):
Hg 0.500 0.500 0.500  0.01
Tl 0.000 0.000 0.500  0.01
Tl 0.500 0.000 0.000  0.03
Ti 0.000 0.500 0.000  1.70
Sn 0.000 0.000 0.000  0.00

symmetry	P4/mmm, No. 123
D(E_F)	4.94	states/eV/cell
energy of formation from the pure elements	652	meV/atom

=====

[16]
Here is TmTiSnHg after structural relaxation from the Alexandria database. Energies are from PBE-GGA.

a b c (Å): 5.028 5.028 5.028
angles (deg): 60.00 60.00 60.00
Site moments in Bohr magnetons follow the coordinates.
Atoms (fractional coordinates):
Hg 0.250 0.250 0.250  -0.01
Tm 0.000 0.000 0.000  0.14
Sn 0.750 0.750 0.750  -0.03
Ti 0.500 0.500 0.500  1.25

symmetry	F-43m, No. 216
D(E_F)	3.96	states/eV/cell
energy of formation from the pure elements	-248	meV/atom

=====

[17]
Here is YTiSnHg after structural relaxation from the Alexandria database. Energies are from PBE-GGA.

a b c (Å): 5.070 5.070 5.070
angles (deg): 60.00 60.00 60.00
Site moments in Bohr magnetons follow the coordinates.
Atoms (fractional coordinates):
Sn 0.500 0.500 0.500  -0.03
Hg 0.000 0.000 0.000  0.00
Y 0.750 0.750 0.750  0.12
Ti 0.250 0.250 0.250  1.26

symmetry	F-43m, No. 216
D(E_F)	4.18	states/eV/cell
energy of formation from the pure elements	-270	meV/atom

=====

[18]
Here is ZrTiSnHg after structural relaxation from the Alexandria database. Energies are from PBE-GGA.

a b c (Å): 4.901 4.901 4.901
angles (deg): 60.00 60.00 60.00
Site moments in Bohr magnetons follow the coordinates.
Atoms (fractional coordinates):
Hg 0.250 0.250 0.250  0.00
Sn 0.750 0.750 0.750  0.00
Zr 0.500 0.500 0.500  0.08
Ti 0.000 0.000 0.000  0.49

symmetry	F-43m, No. 216
D(E_F)	5.08	states/eV/cell
energy of formation from the pure elements	-118	meV/atom

=====

[19]
Here is Tl4SnHg6 after structural relaxation from the Alexandria database. Energies are from PBE-GGA.

a b c (Å): 6.499 11.852 10.357
angles (deg): 124.90 90.00 90.00
Atoms (fractional coordinates):
Hg 0.050 0.193 0.806
Hg 0.784 0.005 0.496
Hg 0.784 0.490 0.496
Hg 0.550 0.387 0.194
Hg 0.113 0.144 0.287
Hg 0.284 0.995 0.504
Hg 0.284 0.510 0.504
Hg 0.320 0.509 0.018
Hg 0.820 0.491 0.982
Hg 0.050 0.613 0.806
Hg 0.550 0.807 0.194
Hg 0.613 0.856 0.713
Sn 0.853 0.299 0.598
Sn 0.353 0.701 0.402
Tl 0.552 0.675 0.840
Tl 0.600 0.091 0.182
Tl 0.052 0.835 0.160
Tl 0.370 0.313 0.626
Tl 0.870 0.687 0.374
Tl 0.100 0.909 0.818
Tl 0.052 0.325 0.160
Tl 0.552 0.165 0.840

symmetry	Cmc2_1, No. 36
D(E_F)	7.81	states/eV/cell
energy of formation from the pure elements	28	meV/atom

=====

[20]
Here is Tl3Sn2Hg8 after structural relaxation from the Alexandria database. Energies are from PBE-GGA.

a b c (Å): 3.332 12.982 8.691
angles (deg): 93.59 89.97 90.07
Atoms (fractional coordinates):
Hg 0.999 0.579 0.653
Hg 0.501 0.432 0.858
Hg 0.998 0.893 0.284
Hg 0.500 0.890 0.662
Hg 0.002 0.107 0.716
Hg 0.500 0.110 0.338
Hg 0.499 0.568 0.142
Hg 0.001 0.421 0.347
Tl 0.000 0.746 0.951
Tl 0.500 0.000 0.000
Tl 0.000 0.254 0.049
Sn 0.493 0.713 0.423
Sn 0.507 0.287 0.577

symmetry	P-1, No. 2
D(E_F)	4.32	states/eV/cell
energy of formation from the pure elements	32	meV/atom